(1)
! TlReGe2, relaxed, DFT GGA-PBEsol; values from VASP
&SYSTEM
  ibrav = 0, nat = 4, ntyp = 3
/
ATOMIC_SPECIES
Tl 204.38 Tl.upf
Re 186.21 Re.upf
Ge 72.64 Ge.upf
CELL_PARAMETERS angstrom
0.000 3.289 3.289
3.289 0.000 3.289
3.289 3.289 0.000
ATOMIC_POSITIONS crystal
Tl 0.000 0.000 0.000
Re 0.500 0.500 0.500
Ge 0.250 0.250 0.250
Ge 0.750 0.750 0.750
! * SG: Fm-3m (225)
! * DOS(E_F): 4.350 states/eV per cell
! * density: 12.5 Mg/m³
! * energy relative to the elements: 82.4 kJ/mol of atoms

(2)
! ReGe3W, relaxed, DFT GGA-PBEsol; values from VASP
&SYSTEM
  ibrav = 0, nat = 5, ntyp = 3
/
ATOMIC_SPECIES
Re 186.21 Re.upf
Ge 72.64 Ge.upf
W 183.84 W.upf
CELL_PARAMETERS angstrom
4.818 0.000 0.000
0.000 4.818 0.000
0.000 0.000 4.818
ATOMIC_POSITIONS crystal
Re 0.000 0.000 0.000
Ge 0.000 0.500 0.500
Ge 0.500 0.000 0.500
Ge 0.500 0.500 0.000
W 0.500 0.500 0.500
! * SG: Pm-3m (221)
! * DOS(E_F): 2.459 states/eV per cell
! * density: 8.7 Mg/m³
! * energy relative to the elements: 154.2 kJ/mol of atoms

Which formula does entry 1 have?
TlReGe2